[1]
Material: KSb3Ru
Method: DFT, PBE
State: relaxed

**Excess energy over the best structure of this formula in the dataset**: 190.86 kJ per mole of atoms

Lattice parameters (Å, degrees): 5.519 5.519 5.519 90.00 90.00 90.00
Fractional positions:
Sb: 0.000 0.500 0.000
Sb: 0.000 0.000 0.500
Sb: 0.500 0.000 0.000
K: 0.000 0.000 0.000
Ru: 0.500 0.500 0.500

***

[2]
Material: KSbRu2
Method: DFT, PBE
State: relaxed

Lattice parameters (Å, degrees): 3.340 4.692 4.692 90.00 90.00 90.00
Last column: magnetic moment on the atom in μB.
Fractional positions:
K: 0.500 0.000 0.500  0.01
Ru: 0.000 0.000 0.000  0.23
Ru: 0.000 0.500 0.500  0.23
Sb: 0.500 0.500 0.000  -0.01

***

[3]
Material: KSbRu2
Method: DFT, PBE
State: relaxed

Lattice parameters (Å, degrees): 6.140 6.140 6.140 152.47 128.39 59.48
Last column: magnetic moment on the atom in μB.
Fractional positions:
K: 0.247 0.747 0.500  0.00
Ru: 0.953 0.953 0.000  0.32
Ru: 0.760 0.260 0.500  0.19
Sb: 0.539 0.539 0.000  -0.01

***

[4]
Material: KSbRu2
Method: DFT, PBE
State: relaxed

Lattice parameters (Å, degrees): 3.193 5.232 4.625 90.00 90.00 90.00
Last column: magnetic moment on the atom in μB.
Fractional positions:
K: 0.000 0.500 0.500  0.00
Ru: 0.000 0.000 0.000  0.06
Ru: 0.500 0.500 0.000  1.10
Sb: 0.500 0.000 0.500  -0.03

***

[5]
Material: KSb12Ru4
Method: DFT, PBE
State: relaxed

Lattice parameters (Å, degrees): 8.159 8.159 8.159 109.47 109.47 109.47
Fractional positions:
K: 0.000 0.000 0.000
Sb: 0.841 0.343 0.184
Sb: 0.343 0.502 0.159
Sb: 0.816 0.159 0.657
Sb: 0.343 0.184 0.841
Sb: 0.184 0.841 0.343
Sb: 0.657 0.498 0.841
Sb: 0.502 0.159 0.343
Sb: 0.498 0.841 0.657
Sb: 0.657 0.816 0.159
Sb: 0.841 0.657 0.498
Sb: 0.159 0.343 0.502
Sb: 0.159 0.657 0.816
Ru: 0.000 0.500 0.000
Ru: 0.500 0.000 0.000
Ru: 0.500 0.500 0.500
Ru: 0.000 0.000 0.500

***

[6]
Material: KSbRu4
Method: DFT, PBE
State: relaxed

Lattice parameters (Å, degrees): 5.343 5.343 5.343 60.00 60.00 60.00
Last column: magnetic moment on the atom in μB.
Fractional positions:
K: 0.000 0.000 0.000  0.00
Sb: 0.750 0.750 0.750  -0.01
Ru: 0.376 0.871 0.376  0.82
Ru: 0.871 0.376 0.376  0.82
Ru: 0.376 0.376 0.871  0.82
Ru: 0.376 0.376 0.376  0.82

***

[7]
Material: K4SbRu
Method: DFT, PBE
State: relaxed

Lattice parameters (Å, degrees): 6.662 6.662 6.662 60.00 60.00 60.00
Last column: magnetic moment on the atom in μB.
Fractional positions:
K: 0.374 0.878 0.374  -0.01
K: 0.878 0.374 0.374  -0.01
K: 0.374 0.374 0.878  -0.01
K: 0.374 0.374 0.374  -0.01
Sb: 0.000 0.000 0.000  0.07
Ru: 0.750 0.750 0.750  2.09

***

[8]
Material: KSbRu3
Method: DFT, PBE
State: relaxed

**Excess energy over the best structure of this formula in the dataset**: 123.03 kJ per mole of atoms

Lattice parameters (Å, degrees): 4.708 4.708 4.708 90.00 90.00 90.00
Last column: magnetic moment on the atom in μB.
Fractional positions:
Sb: 0.500 0.500 0.500  -0.07
K: 0.000 0.000 0.000  0.03
Ru: 0.000 0.500 0.000  1.49
Ru: 0.000 0.000 0.500  1.16
Ru: 0.500 0.000 0.000  1.29

***

[9]
Material: KSbRu2
Method: DFT, PBE
State: relaxed

Lattice parameters (Å, degrees): 4.271 3.055 7.197 77.82 90.00 90.00
Fractional positions:
K: 0.500 0.750 0.750
Ru: 0.000 0.042 0.087
Ru: 0.000 0.458 0.413
Sb: 0.500 0.250 0.250

***

[10]
Material: KSbRu2
Method: DFT, PBE
State: relaxed

Lattice parameters (Å, degrees): 2.958 3.753 8.131 90.00 90.00 90.00
Fractional positions:
K: 0.500 0.500 0.768
Ru: 0.000 0.000 0.091
Ru: 0.500 0.500 0.220
Sb: 0.000 0.000 0.420

***

[11]
Material: KSb3Ru
Method: DFT, PBE
State: relaxed

**Excess energy over the best structure of this formula in the dataset**: 0.00 kJ per mole of atoms

Lattice parameters (Å, degrees): 5.276 5.276 5.276 90.00 90.00 90.00
Fractional positions:
Sb: 0.000 0.500 0.000
Sb: 0.000 0.000 0.500
Sb: 0.500 0.000 0.000
K: 0.500 0.500 0.500
Ru: 0.000 0.000 0.000

***

[12]
Material: KSbTe2Ru
Method: DFT, PBE
State: relaxed

**Excess energy over the best structure of this formula in the dataset**: 0.00 kJ per mole of atoms

Lattice parameters (Å, degrees): 5.574 5.574 5.010 90.00 90.00 90.00
Last column: magnetic moment on the atom in μB.
Fractional positions:
Sb: 0.000 0.000 0.500  -0.01
K: 0.500 0.500 0.500  0.00
Te: 0.000 0.500 0.000  0.10
Te: 0.500 0.000 0.000  0.10
Ru: 0.000 0.000 0.000  0.63

***

[13]
Material: KSbTe2Ru
Method: DFT, PBE
State: relaxed

**Excess energy over the best structure of this formula in the dataset**: 172.46 kJ per mole of atoms

Lattice parameters (Å, degrees): 5.872 5.872 5.701 90.00 90.00 90.00
Last column: magnetic moment on the atom in μB.
Fractional positions:
Sb: 0.000 0.000 0.500  0.06
K: 0.000 0.000 0.000  0.02
Te: 0.000 0.500 0.000  0.00
Te: 0.500 0.000 0.000  0.00
Ru: 0.500 0.500 0.500  2.75

***

[14]
Material: KSbTeRu2
Method: DFT, PBE
State: relaxed

Lattice parameters (Å, degrees): 4.897 5.736 4.897 90.00 90.00 90.00
Last column: magnetic moment on the atom in μB.
Fractional positions:
Sb: 0.000 0.500 0.000  -0.01
K: 0.000 0.000 0.000  0.01
Te: 0.500 0.500 0.500  0.04
Ru: 0.000 0.000 0.500  1.79
Ru: 0.500 0.000 0.000  2.08

***

[15]
Material: KTi2SbRu
Method: DFT, PBE
State: relaxed

Lattice parameters (Å, degrees): 4.353 5.377 4.353 90.00 90.00 90.00
Fractional positions:
Sb: 0.000 0.500 0.000
K: 0.000 0.000 0.000
Ti: 0.000 0.000 0.500
Ti: 0.500 0.000 0.000
Ru: 0.500 0.500 0.500

***

[16]
Material: KTl2SbRu
Method: DFT, PBE
State: relaxed

Lattice parameters (Å, degrees): 5.800 4.816 5.800 90.00 90.00 90.00
Fractional positions:
Sb: 0.500 0.500 0.500
Tl: 0.000 0.000 0.500
Tl: 0.500 0.000 0.000
K: 0.000 0.000 0.000
Ru: 0.000 0.500 0.000

***

[17]
Material: KScRu3
Method: DFT, PBE
State: relaxed

**Formation energy from the elements**: 11.4 eV per formula unit
**Excess energy over the best structure of this formula in the dataset**: 76.18 kJ per mole of atoms

Lattice parameters (Å, degrees): 4.582 4.582 4.582 90.00 90.00 90.00
Fractional positions:
Sc: 0.500 0.500 0.500
Ru: 0.000 0.500 0.000
Ru: 0.000 0.000 0.500
Ru: 0.500 0.000 0.000
K: 0.000 0.000 0.000

***

[18]
Material: KSc2Ru
Method: DFT, PBE
State: relaxed

**Formation energy from the elements**: 2.8 eV per formula unit
**Excess energy over the best structure of this formula in the dataset**: 81.19 kJ per mole of atoms

Lattice parameters (Å, degrees): 5.824 5.824 5.824 137.88 137.88 61.08
Fractional positions:
K: 0.500 0.500 0.000
Ru: 0.750 0.250 0.500
Sc: 0.000 0.000 0.000
Sc: 0.250 0.750 0.500

***

[19]
Material: KScRu3
Method: DFT, PBE
State: relaxed

**Formation energy from the elements**: 7.5 eV per formula unit
**Excess energy over the best structure of this formula in the dataset**: 0.00 kJ per mole of atoms

Lattice parameters (Å, degrees): 4.872 4.872 4.872 90.00 90.00 90.00
Last column: magnetic moment on the atom in μB.
Fractional positions:
Sc: 0.000 0.000 0.000  -0.21
Ru: 0.000 0.500 0.000  1.52
Ru: 0.000 0.000 0.500  1.55
Ru: 0.500 0.000 0.000  1.21
K: 0.500 0.500 0.500  -0.01

***

[20]
Material: KScRu
Method: DFT, PBE
State: relaxed

**Formation energy from the elements**: 2.8 eV per formula unit
**Excess energy over the best structure of this formula in the dataset**: 62.26 kJ per mole of atoms

Lattice parameters (Å, degrees): 4.739 4.739 4.739 60.00 60.00 60.00
Fractional positions:
K: 0.500 0.500 0.500
Ru: 0.750 0.750 0.750
Sc: 0.000 0.000 0.000

***

It is found that the final energy values, taken in the order of the records, are -12.008 -20.050 -20.881 -19.318 -91.519 -37.684 -12.537 -19.793 -20.855 -22.276 -21.899 -20.650 -11.713 -15.569 -19.667 -11.670 -23.809 -20.230 -27.756 -13.939 eV per cell.